(1)
AgGeAs2Ru: relaxed, GGA-PBE.

**Space-group type**: P4/mmm, No. 123
**ΔH_f (0 K)**: 0.548 eV/atom

Lattice parameters (Å, degrees): 4.641 5.286 4.641 90.00 90.00 90.00
Atoms (fractional coordinates):
Ru 0.000 0.000 0.000
As 0.000 0.000 0.500
As 0.500 0.000 0.000
Ge 0.500 0.500 0.500
Ag 0.000 0.500 0.000



(2)
TiRe2Si4: relaxed, GGA-PBE.

**Space-group type**: I4/mmm, No. 139
**Final energy**: -49.05 eV for the cell shown

Lattice parameters (Å, degrees): 4.544 4.544 6.924 70.84 70.84 90.00
Atoms (fractional coordinates):
Re 0.399 0.399 0.202
Re 0.601 0.601 0.798
Si 0.202 0.202 0.595
Si 0.798 0.798 0.405
Si 0.000 0.500 0.000
Si 0.500 0.000 0.000
Ti 0.000 0.000 0.000



(3)
Ac2Al12ZnPt3: relaxed, GGA-PBE.

**Space-group type**: R-3m, No. 166
**ΔH_f (0 K)**: -0.182 eV/atom

Lattice parameters (Å, degrees): 7.999 7.999 7.999 69.90 69.90 69.90
Atoms (fractional coordinates):
Ac 0.606 0.606 0.606
Ac 0.394 0.394 0.394
Al 0.264 0.264 0.868
Al 0.873 0.873 0.347
Al 0.347 0.873 0.873
Al 0.868 0.264 0.264
Al 0.873 0.347 0.873
Al 0.264 0.868 0.264
Al 0.736 0.736 0.132
Al 0.127 0.127 0.653
Al 0.653 0.127 0.127
Al 0.132 0.736 0.736
Al 0.127 0.653 0.127
Al 0.736 0.132 0.736
Zn 0.000 0.000 0.000
Pt 0.500 0.000 0.000
Pt 0.000 0.500 0.000
Pt 0.000 0.000 0.500



(4)
Pu2Ga5Rh3: relaxed, GGA-PBE.

**Space-group type**: Cmc2_1, No. 36
**ΔH_f (0 K)**: -0.579 eV/atom

Lattice parameters (Å, degrees): 4.303 6.724 12.587 90.00 99.84 90.00
Atoms (fractional coordinates):
Pu 0.479 0.778 0.959
Pu 0.174 0.710 0.347
Pu 0.826 0.210 0.653
Pu 0.521 0.278 0.041
Ga 0.397 0.413 0.795
Ga 0.291 0.498 0.581
Ga 0.709 0.998 0.419
Ga 0.127 0.256 0.254
Ga 0.294 0.895 0.587
Ga 0.947 0.104 0.894
Ga 0.706 0.395 0.413
Ga 0.873 0.756 0.746
Ga 0.053 0.604 0.106
Ga 0.603 0.913 0.205
Rh 0.772 0.694 0.543
Rh 0.608 0.520 0.215
Rh 0.049 0.996 0.099
Rh 0.228 0.194 0.457
Rh 0.951 0.496 0.901
Rh 0.392 0.020 0.785